Computed, not measured: a relaxed CsInI crystal at the GGA-PBE level of DFT.

Computed properties:
magnetization = 0.0 μB per formula unit
energy = -14.8 eV/cell
energy relative to the elements, uncorrected = -0.7472 eV/atom
SG = C2/m

Unit cell a=10.5583 b=10.5583 c=5.8173 alpha=103.74 beta=103.74 gamma=28.72
With the nearest neighbours (Å) after each atom.
Positions (direct):
1 Cs 0.1050 0.1050 0.3359  4 I 3.93-3.95, 3 In 4.06-4.26
2 Cs 0.8950 0.8950 0.6641  4 I 3.93-3.95, 3 In 4.06-4.26
3 In 0.2637 0.2637 0.9144  2 In 2.90, 1 I 3.16
4 In 0.7363 0.7363 0.0856  2 In 2.90, 1 I 3.16
5 I 0.4177 0.4177 0.1858  1 In 3.16
6 I 0.5823 0.5823 0.8142  1 In 3.16